! ZnNi2 | the Alexandria database | PBE-GGA | relaxed; values from VASP
&SYSTEM
  ibrav = 0, nat = 3, ntyp = 2
/
ATOMIC_SPECIES
Ni 58.69 Ni.upf
Zn 65.41 Zn.upf
CELL_PARAMETERS angstrom
4.026 0.000 0.000
-2.013 3.487 0.000
0.000 0.000 2.498
ATOMIC_POSITIONS crystal
Ni 0.667 0.333 0.317
Ni 0.333 0.667 0.683
Zn 0.000 0.000 0.000
! - formation energy (eV per atom) = -0.0824
! - calculated volume (Å³ per atom) = 11.69
! - calculated total energy (eV per atom) = -4.361

***

! LaGa3Pt | the Alexandria database | PBE-GGA | relaxed; values from VASP
&SYSTEM
  ibrav = 0, nat = 20, ntyp = 3
/
ATOMIC_SPECIES
La 138.91 La.upf
Ga 69.72 Ga.upf
Pt 195.08 Pt.upf
CELL_PARAMETERS angstrom
-1.717 -3.782 -1.388
1.383 -3.424 7.620
-9.989 3.321 3.306
ATOMIC_POSITIONS crystal
La 0.750 0.804 0.020
La 0.250 0.696 0.520
La 0.750 0.304 0.480
La 0.250 0.196 0.980
Ga 0.250 0.564 0.090
Ga 0.750 0.436 0.910
Ga 0.250 0.064 0.410
Ga 0.750 0.936 0.590
Ga 0.250 0.383 0.688
Ga 0.750 0.117 0.188
Ga 0.250 0.883 0.812
Ga 0.750 0.641 0.717
Ga 0.250 0.359 0.283
Ga 0.750 0.141 0.783
Ga 0.750 0.617 0.312
Ga 0.250 0.859 0.217
Pt 0.250 0.089 0.649
Pt 0.250 0.589 0.851
Pt 0.750 0.411 0.149
Pt 0.750 0.911 0.351
! - formation energy (eV per atom) = -0.7744
! - calculated volume (Å³ per atom) = 20.46
! - calculated total energy (eV per atom) = -4.784
! - energy relative to the lowest polymorph listed for this composition (eV/atom) = 0.068

***

! GaIrPtBr2 | the Alexandria database | PBE-GGA | relaxed; values from VASP
&SYSTEM
  ibrav = 0, nat = 5, ntyp = 4
/
ATOMIC_SPECIES
Ga 69.72 Ga.upf
Ir 192.22 Ir.upf
Br 79.90 Br.upf
Pt 195.08 Pt.upf
CELL_PARAMETERS angstrom
5.057 0.000 0.000
0.000 4.791 0.000
0.000 0.000 5.057
ATOMIC_POSITIONS crystal
Ga 0.000 0.500 0.000
Ir 0.000 0.000 0.000
Br 0.000 0.000 0.500
Br 0.500 0.000 0.000
Pt 0.500 0.500 0.500
! - ΔE_f (raw) (meV/atom) = 827
! - calculated volume (Å³ per atom) = 24.50
! - calculated total energy (eV per atom) = -3.428
! - energy relative to the lowest polymorph listed for this composition (eV/atom) = 0.075

***

! CsSb | the Alexandria database | PBE-GGA | relaxed; values from VASP
&SYSTEM
  ibrav = 0, nat = 32, ntyp = 2
/
ATOMIC_SPECIES
Cs 132.91 Cs.upf
Sb 121.76 Sb.upf
CELL_PARAMETERS angstrom
-13.252 1.943 -8.294
-1.729 -8.390 0.796
-6.568 2.403 11.057
ATOMIC_POSITIONS crystal
Cs 0.000 0.000 0.212
Cs 0.000 0.000 0.788
Cs 0.250 0.750 0.038
Cs 0.250 0.750 0.462
Cs 0.000 0.500 0.712
Cs 0.000 0.500 0.288
Cs 0.250 0.250 0.538
Cs 0.250 0.250 0.962
Cs 0.500 0.000 0.712
Cs 0.500 0.000 0.288
Cs 0.750 0.750 0.538
Cs 0.750 0.750 0.962
Cs 0.500 0.500 0.212
Cs 0.500 0.500 0.788
Cs 0.750 0.250 0.038
Cs 0.750 0.250 0.462
Sb 0.000 0.343 0.000
Sb 0.000 0.657 0.000
Sb 0.250 0.407 0.250
Sb 0.250 0.093 0.250
Sb 0.000 0.843 0.500
Sb 0.000 0.157 0.500
Sb 0.250 0.907 0.750
Sb 0.250 0.593 0.750
Sb 0.500 0.343 0.500
Sb 0.500 0.657 0.500
Sb 0.750 0.407 0.750
Sb 0.750 0.093 0.750
Sb 0.500 0.843 0.000
Sb 0.500 0.157 0.000
Sb 0.750 0.907 0.250
Sb 0.750 0.593 0.250
! - ΔE_f (raw) (meV/atom) = -241
! - calculated volume (Å³ per atom) = 55.41
! - calculated total energy (eV per atom) = -2.729
! - energy relative to the lowest polymorph listed for this composition (eV/atom) = 0.222

***

! BeCoSe2 | the Alexandria database | PBE-GGA | relaxed; values from VASP
&SYSTEM
  ibrav = 0, nat = 4, ntyp = 3
/
ATOMIC_SPECIES
Be 9.01 Be.upf
Co 58.93 Co.upf
Se 78.96 Se.upf
CELL_PARAMETERS angstrom
3.312 0.000 0.000
0.000 8.142 0.000
0.000 0.000 3.333
ATOMIC_POSITIONS crystal
Be 0.500 0.000 0.500
Co 0.000 0.500 0.500
Se 0.000 0.000 0.000
Se 0.500 0.500 0.000
! - ΔE_f (raw) (meV/atom) = 249
! - calculated volume (Å³ per atom) = 22.47
! - calculated total energy (eV per atom) = -4.201

***

! Ce3Nd2P4 | the Alexandria database | PBE-GGA | relaxed; values from VASP
&SYSTEM
  ibrav = 0, nat = 9, ntyp = 3
/
ATOMIC_SPECIES
Ce 140.12 Ce.upf
Nd 144.24 Nd.upf
P 30.97 P.upf
CELL_PARAMETERS angstrom
3.960 0.000 0.974
1.757 6.737 1.396
-0.150 0.591 9.147
ATOMIC_POSITIONS crystal
Ce 0.000 0.000 0.000
Ce 0.203 0.400 0.195
Ce 0.797 0.600 0.805
Nd 0.603 0.188 0.605
Nd 0.397 0.812 0.395
P 0.798 0.105 0.299
P 0.202 0.895 0.701
P 0.398 0.301 0.902
P 0.602 0.699 0.098
! - formation energy (eV per atom) = -1.3080
! - calculated volume (Å³ per atom) = 26.97
! - calculated total energy (eV per atom) = -6.750

***

Among the records above, which one has the lowest calculated total energy? Ce3Nd2P4